# 1
# Na2GeBO5

Crystalline Na2GeBO5 at its relaxed geometry (GGA-PBE, the Alexandria database).

Properties
DFT total energy (eV/atom): -5.972
V (Å³ per atom): 11.36
Calculated density (g/cm3): 3.4
Magnetization (Bohr magnetons per cell): 2.022

```
Na2GeBO5
1.0
-2.034 0.077 1.799
-2.710 -4.753 -4.913
4.335 -7.890 5.241
O B Na Ge
10 2 4 2
Direct
0.667 0.333 0.920 O
0.485 0.969 0.304 O
0.692 0.384 0.160 O
0.308 0.616 0.660 O
0.515 0.031 0.804 O
0.962 0.924 0.495 O
0.328 0.656 0.006 O
0.672 0.344 0.506 O
0.038 0.076 0.995 O
0.333 0.667 0.420 O
0.439 0.878 0.425 B
0.561 0.122 0.925 B
0.875 0.751 0.828 Na
0.916 0.832 0.145 Na
0.084 0.168 0.645 Na
0.125 0.249 0.328 Na
0.793 0.586 0.541 Ge
0.207 0.414 0.041 Ge
```



# 2
# Na3GeB2O6

Crystalline Na3GeB2O6 at its relaxed geometry (GGA-PBE, the Alexandria database).

Properties
DFT total energy (eV/atom): -6.178
V (Å³ per atom): 11.96
Calculated density (g/cm3): 3.0
Magnetization (Bohr magnetons per cell): 0.000

```
Na3GeB2O6
1.0
5.183 0.000 0.000
-2.592 4.489 0.000
0.000 0.000 6.169
B Ge Na O
2 1 3 6
Direct
0.667 0.333 0.714 B
0.333 0.667 0.286 B
0.000 0.000 0.500 Ge
0.000 0.000 0.000 Na
0.333 0.667 0.750 Na
0.667 0.333 0.250 Na
0.179 0.357 0.280 O
0.179 0.821 0.280 O
0.357 0.179 0.720 O
0.821 0.179 0.720 O
0.821 0.643 0.720 O
0.643 0.821 0.280 O
```



# 3
# NaGe3B4O12

Crystalline NaGe3B4O12 at its relaxed geometry (GGA-PBE, the Alexandria database).

Properties
DFT total energy (eV/atom): -6.978
V (Å³ per atom): 9.98
Calculated density (g/cm3): 4.0
Magnetization (Bohr magnetons per cell): 0.000

```
NaGe3B4O12
1.0
-2.479 -5.222 -1.799
4.615 -1.754 3.505
-4.028 2.196 3.951
Na O B Ge
1 12 4 3
Direct
0.000 0.000 0.000 Na
0.354 0.646 0.500 O
0.014 0.615 0.777 O
0.500 0.095 0.905 O
0.777 0.014 0.615 O
0.385 0.986 0.223 O
0.986 0.223 0.385 O
0.646 0.500 0.354 O
0.615 0.777 0.014 O
0.905 0.500 0.095 O
0.223 0.385 0.986 O
0.500 0.354 0.646 O
0.095 0.905 0.500 O
0.946 0.054 0.500 B
0.054 0.500 0.946 B
0.500 0.946 0.054 B
0.500 0.500 0.500 B
0.000 0.546 0.454 Ge
0.546 0.454 0.000 Ge
0.454 0.000 0.546 Ge
```



# 4
# Na2GeB2O6

Crystalline Na2GeB2O6 at its relaxed geometry (GGA-PBE, the Alexandria database).

Properties
DFT total energy (eV/atom): -6.616
V (Å³ per atom): 10.27
Calculated density (g/cm3): 3.5
Magnetization (Bohr magnetons per cell): 0.000

```
Na2GeB2O6
1.0
-4.221 -1.228 2.382
2.733 -3.458 -2.187
2.354 1.892 5.145
O Ge B Na
6 1 2 2
Direct
0.215 0.956 0.255 O
0.249 0.498 0.360 O
0.785 0.044 0.745 O
0.260 0.044 0.745 O
0.751 0.502 0.640 O
0.740 0.956 0.255 O
0.500 0.000 0.500 Ge
0.925 0.849 0.701 B
0.075 0.151 0.299 B
0.697 0.394 0.139 Na
0.303 0.606 0.861 Na
```



# 5
# Na2GeBPd6

Crystalline Na2GeBPd6 at its relaxed geometry (GGA-PBE, the Alexandria database).

Properties
DFT total energy (eV/atom): -4.796
V (Å³ per atom): 17.79
Calculated density (g/cm3): 7.2
Energy of formation (kcal/mol of atoms): -6.62
Magnetization (Bohr magnetons per cell): 0.000

```
Na2GeBPd6
1.0
5.801 0.005 0.010
-0.012 6.916 0.800
2.872 4.016 4.903
Pd B Ge Na
6 1 1 2
Direct
0.735 0.790 0.529 Pd
0.736 0.266 0.050 Pd
0.788 0.735 0.949 Pd
0.265 0.210 0.471 Pd
0.264 0.734 0.950 Pd
0.212 0.265 0.052 Pd
0.500 0.500 0.000 B
0.000 0.000 0.000 Ge
0.715 0.284 0.569 Na
0.285 0.716 0.431 Na
```



# 6
# NaGeB2Pd

Crystalline NaGeB2Pd at its relaxed geometry (GGA-PBE, the Alexandria database).

Properties
DFT total energy (eV/atom): -2.779
V (Å³ per atom): 17.91
Calculated density (g/cm3): 4.1
Energy of formation (kcal/mol of atoms): 48.85
Magnetization (Bohr magnetons per cell): 0.000

```
NaGeB2Pd
1.0
4.355 0.000 0.000
0.000 4.355 0.000
0.000 0.000 4.721
B Ge Na Pd
2 1 1 1
Direct
0.500 0.000 0.000 B
0.000 0.500 0.000 B
0.500 0.500 0.500 Ge
0.000 0.000 0.000 Na
0.000 0.000 0.500 Pd
```



# 7
# Na2GeBPt

Crystalline Na2GeBPt at its relaxed geometry (GGA-PBE, the Alexandria database).

Properties
DFT total energy (eV/atom): -3.012
V (Å³ per atom): 27.62
Calculated density (g/cm3): 3.9
Energy of formation (kcal/mol of atoms): 22.66
Magnetization (Bohr magnetons per cell): 0.000

```
Na2GeBPt
1.0
5.497 0.000 0.000
0.000 4.569 0.000
0.000 0.000 5.497
B Na Ge Pt
1 2 1 1
Direct
0.500 0.500 0.500 B
0.000 0.000 0.500 Na
0.500 0.000 0.000 Na
0.000 0.000 0.000 Ge
0.000 0.500 0.000 Pt
```



# 8
# Na2GeBPt6

Crystalline Na2GeBPt6 at its relaxed geometry (GGA-PBE, the Alexandria database).

Properties
DFT total energy (eV/atom): -5.334
V (Å³ per atom): 17.80
Calculated density (g/cm3): 12.1
Energy of formation (kcal/mol of atoms): -7.29
Magnetization (Bohr magnetons per cell): 0.000

```
Na2GeBPt6
1.0
5.693 0.027 0.011
-0.035 7.072 1.004
2.817 4.225 5.025
Na Pt Ge B
2 6 1 1
Direct
0.292 0.708 0.415 Na
0.708 0.292 0.585 Na
0.263 0.211 0.474 Pt
0.789 0.737 0.948 Pt
0.263 0.737 0.948 Pt
0.737 0.789 0.526 Pt
0.211 0.263 0.052 Pt
0.737 0.263 0.052 Pt
0.000 0.000 0.000 Ge
0.500 0.500 0.000 B
```



# 9
# Na2GeB2Pt5

Crystalline Na2GeB2Pt5 at its relaxed geometry (GGA-PBE, the Alexandria database).

Properties
DFT total energy (eV/atom): -5.424
V (Å³ per atom): 14.43
Calculated density (g/cm3): 12.8
Energy of formation (kcal/mol of atoms): -7.90
Magnetization (Bohr magnetons per cell): 0.000

```
Na2GeB2Pt5
1.0
-1.418 2.374 1.338
-8.190 -5.162 0.482
2.621 -3.345 8.712
B Ge Pt Na
4 2 10 4
Direct
0.000 0.124 0.624 B
0.000 0.876 0.376 B
0.000 0.376 0.124 B
0.000 0.624 0.876 B
0.000 0.000 0.000 Ge
0.000 0.500 0.500 Ge
0.500 0.220 0.069 Pt
0.500 0.569 0.720 Pt
0.500 0.069 0.780 Pt
0.500 0.931 0.220 Pt
0.500 0.500 0.000 Pt
0.500 0.780 0.931 Pt
0.500 0.000 0.500 Pt
0.500 0.280 0.569 Pt
0.500 0.720 0.431 Pt
0.500 0.431 0.280 Pt
0.000 0.677 0.177 Na
0.000 0.177 0.323 Na
0.000 0.823 0.677 Na
0.000 0.323 0.823 Na
```



# 10
# NaGeBS4

Crystalline NaGeBS4 at its relaxed geometry (GGA-PBE, the Alexandria database).

Properties
DFT total energy (eV/atom): -4.672
V (Å³ per atom): 20.81
Calculated density (g/cm3): 2.7
Magnetization (Bohr magnetons per cell): 0.000

```
NaGeBS4
1.0
6.788 0.170 0.000
-2.571 6.285 0.000
0.000 0.000 6.758
B S Ge Na
2 8 2 2
Direct
0.869 0.131 0.250 B
0.131 0.869 0.750 B
0.240 0.760 0.976 S
0.240 0.760 0.524 S
0.760 0.240 0.024 S
0.175 0.220 0.250 S
0.780 0.825 0.250 S
0.220 0.175 0.750 S
0.760 0.240 0.476 S
0.825 0.780 0.750 S
0.876 0.124 0.750 Ge
0.124 0.876 0.250 Ge
0.500 0.500 0.500 Na
0.500 0.500 0.000 Na
```



# 11
# NaGe2BS6

Crystalline NaGe2BS6 at its relaxed geometry (GGA-PBE, the Alexandria database).

Properties
DFT total energy (eV/atom): -4.561
V (Å³ per atom): 23.96
Calculated density (g/cm3): 2.6
Magnetization (Bohr magnetons per cell): 0.000

```
NaGe2BS6
1.0
-3.560 3.130 -4.872
-2.691 -6.046 -5.945
-8.445 0.822 2.672
S Ge B Na
12 4 2 2
Direct
0.472 0.790 0.343 S
0.702 0.800 0.999 S
0.298 0.200 0.001 S
0.528 0.210 0.657 S
0.972 0.343 0.790 S
0.798 0.001 0.200 S
0.917 0.285 0.407 S
0.083 0.715 0.593 S
0.028 0.657 0.210 S
0.202 0.999 0.800 S
0.417 0.407 0.285 S
0.583 0.593 0.715 S
0.127 0.388 0.213 Ge
0.627 0.213 0.388 Ge
0.373 0.787 0.612 Ge
0.873 0.612 0.787 Ge
0.750 0.795 0.205 B
0.250 0.205 0.795 B
0.250 0.892 0.108 Na
0.750 0.108 0.892 Na
```



# 12
# Na2GeBS4

Crystalline Na2GeBS4 at its relaxed geometry (GGA-PBE, the Alexandria database).

Properties
DFT total energy (eV/atom): -4.400
V (Å³ per atom): 21.59
Calculated density (g/cm3): 2.5
Magnetization (Bohr magnetons per cell): 0.000

```
Na2GeBS4
1.0
-4.754 -2.762 2.057
0.884 -3.089 6.273
-5.056 6.342 5.210
S Ge B Na
8 2 2 4
Direct
0.658 0.184 0.115 S
0.227 0.816 0.115 S
0.158 0.184 0.885 S
0.793 0.684 0.615 S
0.523 0.684 0.385 S
0.092 0.316 0.385 S
0.592 0.316 0.615 S
0.957 0.816 0.885 S
0.500 0.000 0.000 Ge
0.250 0.500 0.500 Ge
0.000 0.000 0.000 B
0.750 0.500 0.500 B
0.812 0.000 0.375 Na
0.188 0.000 0.625 Na
0.562 0.500 0.875 Na
0.938 0.500 0.125 Na
```



Repeat the twelfth record exactly.
# Na2GeBS4

Crystalline Na2GeBS4 at its relaxed geometry (GGA-PBE, the Alexandria database).

Properties
DFT total energy (eV/atom): -4.400
V (Å³ per atom): 21.59
Calculated density (g/cm3): 2.5
Magnetization (Bohr magnetons per cell): 0.000

```
Na2GeBS4
1.0
-4.754 -2.762 2.057
0.884 -3.089 6.273
-5.056 6.342 5.210
S Ge B Na
8 2 2 4
Direct
0.658 0.184 0.115 S
0.227 0.816 0.115 S
0.158 0.184 0.885 S
0.793 0.684 0.615 S
0.523 0.684 0.385 S
0.092 0.316 0.385 S
0.592 0.316 0.615 S
0.957 0.816 0.885 S
0.500 0.000 0.000 Ge
0.250 0.500 0.500 Ge
0.000 0.000 0.000 B
0.750 0.500 0.500 B
0.812 0.000 0.375 Na
0.188 0.000 0.625 Na
0.562 0.500 0.875 Na
0.938 0.500 0.125 Na
```